Computed, not measured: a relaxed structure of MgCl2 at the GGA-PBE level of DFT.

Cell: 6.8521 6.8521 5.4411 Å, 90.00 90.00 120.00°
Last column: nearest neighbours and their distance in Å.
Fractional positions:
1 Mg 0.0000 0.0000 0.0000  3 Cl 2.33
2 Mg 0.3333 0.6667 0.5000  3 Cl 2.35
3 Mg 0.6667 0.3333 0.5000  3 Cl 2.35
4 Cl 0.0000 0.3145 0.5000  2 Mg 2.35
5 Cl 0.0000 0.6593 0.0000  1 Mg 2.33
6 Cl 0.3145 0.0000 0.5000  2 Mg 2.35
7 Cl 0.3407 0.3407 0.0000  1 Mg 2.33
8 Cl 0.6593 0.0000 0.0000  1 Mg 2.33
9 Cl 0.6855 0.6855 0.5000  2 Mg 2.35

Calculated values
As for the final energy: -3.3434 eV/atom. As for the uncorrected formation energy: -4.74 eV per formula unit. The value obtained for the magnetization is 0.00 μB per formula unit.

Computed, not measured: a relaxed structure of Cs2HfTe4 at the GGA-PBE level of DFT.

Cell: 10.3705 10.3705 10.3705 Å, 147.92 147.92 46.00°
Last column: nearest neighbours and their distance in Å.
Fractional positions:
1 Cs 0.1467 0.1467 0.0000  9 Te 3.94-4.05
2 Cs 0.8533 0.8533 0.0000  9 Te 3.94-4.05
3 Hf 0.5000 0.5000 0.0000  6 Te 2.80-2.87
4 Te 0.0000 0.5000 0.5000  2 Hf 2.87
5 Te 0.3532 0.3532 0.0000  1 Hf 2.80
6 Te 0.5000 0.0000 0.5000  2 Hf 2.87
7 Te 0.6468 0.6468 0.0000  1 Hf 2.80

Calculated values
As for the final energy: -4.2033 eV/atom. As for the uncorrected formation energy: -5.20 eV per formula unit. The distance to the lowest polymorph of the same formula is 0.0 meV/atom. The value obtained for the magnetization is 0.00 μB per formula unit.

Computed, not measured: a relaxed structure of KRe at the GGA-PBE level of DFT.

Cell: 4.2968 4.2968 10.1799 Å, 91.94 91.94 41.29°
Last column: nearest neighbours and their distance in Å.
Fractional positions:
1 K 0.1156 0.1156 0.2895  2 K 3.03, 1 Re 3.24
2 K 0.8844 0.8844 0.7105  2 K 3.03, 1 Re 3.24
3 Re 0.3611 0.3611 0.0438  3 Re 2.43-2.48
4 Re 0.6389 0.6389 0.9562  3 Re 2.43-2.48

Calculated values
As for the final energy: -5.8368 eV/atom. The distance to the lowest polymorph of the same formula is 105.4 meV/atom. The calculation puts the formation energy from the elements at 1.87 eV per formula unit. The value obtained for the magnetization is 0.00 μB per formula unit.